The following is a DFT calculation (PBE) of an optimized crystal structure of K3YSb2O6.

```
12
Lattice="-1.0773 2.4733 -5.5123 -1.1143 -5.9581 0.9608 -6.7285 1.5851 2.0262" Properties=species:S:1:pos:R:3 pbc="T T T"
K -5.4569 -2.1217 0.1145
K -3.4632 0.2220 -2.6398
K 0.0000 0.0000 0.0000
Y -3.3642 0.7925 1.0131
Sb -6.6080 0.9628 -1.6928
Sb -2.3121 -2.8625 -0.8325
O -3.7202 -2.8185 -2.1925
O -2.6585 -1.1304 0.0124
O -3.1983 -4.0166 0.4778
O -6.2616 -0.7693 -2.5377
O -5.1999 0.9188 -0.3328
O -5.7218 2.1169 -3.0031
```

Output
Raw formation energy ... -1996 meV/atom
Final energy ... -5.976 eV per atom